TbOsPb2O6 | PBE-GGA | optimized geometry

```
data_TbOsPb2O6
_chemical_formula_sum 'Tb2 Os2 Pb4 O12'
_cell_length_a 5.8051
_cell_length_b 5.8051
_cell_length_c 8.3885
_cell_angle_alpha 90.00
_cell_angle_beta 90.00
_cell_angle_gamma 90.00
_space_group_name_H-M_alt 'I 4/m'
_space_group_IT_number 87
_space_group_name_Hall '-I 4'
loop_
_atom_site_label
_atom_site_type_symbol
_atom_site_fract_x
_atom_site_fract_y
_atom_site_fract_z
Tb1 Tb 0.0000 0.0000 0.0000
Os1 Os 0.0000 0.0000 0.5000
Pb1 Pb 0.0000 0.5000 0.2500
O1 O 0.0000 0.0000 0.2657
O2 O 0.1743 0.7093 0.5000
```

E above lowest polymorph   0.008 eV/atom

---

CdHgSO | PBE-GGA | optimized geometry

```
data_CdHgSO
_chemical_formula_sum 'Cd4 Hg4 S4 O4'
_cell_length_a 3.6757
_cell_length_b 12.9629
_cell_length_c 5.9694
_cell_angle_alpha 90.00
_cell_angle_beta 90.00
_cell_angle_gamma 90.00
_space_group_name_H-M_alt 'C m c m'
_space_group_IT_number 63
_space_group_name_Hall '-C 2c 2'
loop_
_atom_site_label
_atom_site_type_symbol
_atom_site_fract_x
_atom_site_fract_y
_atom_site_fract_z
Cd1 Cd 0.0000 0.1359 0.2500
Hg1 Hg 0.0000 0.4241 0.2500
S1 S 0.0000 0.2253 0.7500
O1 O 0.0000 0.0000 0.0000
```

E above lowest polymorph   0.321 eV/atom

---

HoTm2Se3 | PBE-GGA | optimized geometry

```
data_HoTm2Se3
_chemical_formula_sum 'Ho1 Tm2 Se3'
_cell_length_a 4.0116
_cell_length_b 4.0116
_cell_length_c 9.8848
_cell_angle_alpha 90.00
_cell_angle_beta 90.00
_cell_angle_gamma 120.00
_space_group_name_H-M_alt 'P -3 m 1'
_space_group_IT_number 164
_space_group_name_Hall '-P 3 2"'
loop_
_atom_site_label
_atom_site_type_symbol
_atom_site_fract_x
_atom_site_fract_y
_atom_site_fract_z
Ho1 Ho 0.0000 0.0000 0.0000
Tm1 Tm 0.3333 0.6667 0.6663
Se1 Se 0.0000 0.0000 0.5000
Se2 Se 0.3333 0.6667 0.1700
```

Final energy   -0.2085 Ha/atom